A relaxed structure of Cr2SbPt, computed with PBE-GGA.

Unit cell a=3.497 b=3.497 c=5.521 alpha=90.00 beta=90.00 gamma=90.00
Last column: magnetic moment on the atom in μB.
Positions (direct):
Cr: 0.000 0.000 0.022  3.10
Cr: 0.500 0.500 0.240  -2.95
Pt: 0.000 0.000 0.496  0.07
Sb: 0.500 0.500 0.742  0.01

Total DFT energy (no corrections), eV/atom: -7.256
Space-group type: P4mm (99)

---

A relaxed structure of Tl2Bi2I, computed with PBE-GGA.

Unit cell a=4.925 b=4.925 c=8.104 alpha=72.31 beta=72.31 gamma=90.00
Positions (direct):
I: 0.000 0.000 0.000
Tl: 0.750 0.250 0.500
Tl: 0.250 0.750 0.500
Bi: 0.388 0.388 0.224
Bi: 0.612 0.612 0.776

Space-group type: I4/mmm (139)
E above lowest polymorph, meV per atom: 250

---

A relaxed structure of MgBe3B2, computed with PBE-GGA.

Unit cell a=3.854 b=5.424 c=5.424 alpha=106.88 beta=90.00 gamma=90.00
Positions (direct):
Mg: 0.750 0.338 0.338
Mg: 0.250 0.662 0.662
Be: 0.750 0.922 0.922
Be: 0.250 0.078 0.078
Be: 0.750 0.928 0.531
Be: 0.250 0.072 0.469
Be: 0.750 0.531 0.928
Be: 0.250 0.469 0.072
B: 0.000 0.804 0.196
B: 0.500 0.196 0.804
B: 0.000 0.196 0.804
B: 0.500 0.804 0.196

Space-group type: Cmcm (63)
Formation energy from the elements, eV per formula unit: 0.95

---

A relaxed structure of Sr4LiSm2Ta2O12, computed with PBE-GGA.

Unit cell a=5.944 b=6.049 c=8.466 alpha=90.87 beta=92.17 gamma=90.01
Positions (direct):
Sr: 0.035 0.577 0.709
Sr: 0.993 0.457 0.265
Sr: 0.502 0.043 0.754
Sr: 0.501 0.962 0.255
Li: 0.854 0.392 0.931
Sm: 0.006 0.014 0.500
Sm: 0.459 0.501 0.008
Ta: 0.990 0.980 0.002
Ta: 0.515 0.504 0.505
O: 0.915 0.972 0.766
O: 0.080 0.024 0.232
O: 0.609 0.465 0.742
O: 0.416 0.535 0.271
O: 0.146 0.288 0.957
O: 0.822 0.696 0.038
O: 0.325 0.778 0.551
O: 0.697 0.234 0.449
O: 0.278 0.822 0.957
O: 0.703 0.175 0.036
O: 0.239 0.315 0.538
O: 0.789 0.693 0.465

Space-group type: P1 (1)
E above lowest polymorph, meV per atom: 13

---

Size of the total moment in μB/cell, matching the order above: 0.29; 0.00; 0.00; 0.00